Entry 1:
The following is a DFT calculation (PBE) of SnTeSI2 after structural relaxation.

Cell and atoms, written as POSCAR:
```
SnTeSI2
1.0
-3.2769 3.8250 2.2692
0.4742 -2.5021 4.9023
4.3456 3.0490 1.1358
I S Te Sn
2 1 1 1
Cartesian
0.2371 -1.2510 2.4512
-1.6384 1.9125 1.1346
0.0000 0.0000 0.0000
2.1728 1.5245 0.5679
0.7714 2.1860 4.1537
```

Values from the calculation:
**Polymorph energy (0 for the lowest one)**: 0 meV/atom
**Formation energy (no corrections)**: 304.7 meV/atom
**Magnetic moment**: 0.00 μB/f.u.

***

Entry 2:
The following is a DFT calculation (PBE) of PmEr2HfN4 after structural relaxation.

Cell and atoms, written as POSCAR:
```
PmEr2HfN4
1.0
3.4012 0.0000 0.0000
0.0000 5.9315 0.1247
0.0000 -2.0536 5.5147
Pm Er Hf N
1 2 1 4
Cartesian
1.7006 2.9658 0.0624
1.7006 -1.0268 2.7573
0.0000 1.9389 2.8197
0.0000 0.0000 0.0000
1.7006 0.8748 1.3454
1.7006 3.0031 4.2940
0.0000 -0.1784 4.1746
0.0000 4.0563 1.4648
```

Values from the calculation:
**Formation energy (no corrections)**: -1685.6 meV/atom
**Magnetic moment**: 0.00 μB/f.u.

***

Entry 3:
The following is a DFT calculation (PBE) of CaSi2Ir after structural relaxation.

Cell and atoms, written as POSCAR:
```
CaSi2Ir
1.0
-0.8801 0.5862 2.9687
-0.8139 -4.6545 0.6778
3.6850 -3.8139 1.8456
Ca Ir Si
1 1 2
Cartesian
0.9955 -3.9411 2.7461
1.8425 -1.9070 0.9228
0.0000 0.0000 0.0000
-0.8470 -2.0341 1.8233
```

Values from the calculation:
**Formation energy (no corrections)**: 72.3 meV/atom
**Magnetic moment**: 0.00 μB/f.u.

***

- Among the records above, which one has the highest formation energy (no corrections)?
  SnTeSI2